Record 1
# KTa3P5 PBE relaxed
# **Calculated density**: 7.13 g/cm³
# **Raw total energy**: -66.7 eV per cell
# **Magnetization**: 0.0 μB/f.u.
data_KTa3P5
_space_group_name_H-M_alt 'P 6/m m m'
_space_group_IT_number 191
_space_group_name_Hall '-P 6 2'
_cell_length_a 5.7564
_cell_length_b 5.7564
_cell_length_c 5.9814
_cell_angle_alpha 90.00
_cell_angle_beta 90.00
_cell_angle_gamma 120.00
loop_
_atom_site_label
_atom_site_type_symbol
_atom_site_fract_x
_atom_site_fract_y
_atom_site_fract_z
K1 K 0.0000 0.0000 0.0000
Ta1 Ta 0.0000 0.5000 0.5000
P1 P 0.0000 0.0000 0.5000
P2 P 0.3333 0.6667 0.1825

=====

Record 2
# KTaP PBE relaxed
# **Calculated density**: 5.39 g/cm³
# **Raw total energy**: -107.9 eV per cell
# **Magnetization**: 0.1 μB/f.u.
data_KTaP
_space_group_name_H-M_alt 'A m m 2'
_space_group_IT_number 38
_cell_length_a 3.380
_cell_length_b 10.553
_cell_length_c 13.002
_cell_angle_alpha 90.00
_cell_angle_beta 90.00
_cell_angle_gamma 90.00
loop_
_space_group_symop_operation_xyz
'x,y,z'
'-x,-y,z'
'-x,y,z'
'x,-y,z'
'x,y+1/2,z+1/2'
'-x,-y+1/2,z+1/2'
'-x,y+1/2,z+1/2'
'x,-y+1/2,z+1/2'
loop_
_atom_site_label
_atom_site_type_symbol
_atom_site_fract_x
_atom_site_fract_y
_atom_site_fract_z
K1 K 0.000 0.000 0.000
K2 K 0.000 0.167 0.500
Ta1 Ta 0.000 0.000 0.263
Ta2 Ta 0.000 0.167 0.763
P1 P 0.500 0.000 0.733
P2 P 0.500 0.166 0.227

=====

Copy entry 2 word for word.
# KTaP PBE relaxed
# **Calculated density**: 5.39 g/cm³
# **Raw total energy**: -107.9 eV per cell
# **Magnetization**: 0.1 μB/f.u.
data_KTaP
_space_group_name_H-M_alt 'A m m 2'
_space_group_IT_number 38
_cell_length_a 3.380
_cell_length_b 10.553
_cell_length_c 13.002
_cell_angle_alpha 90.00
_cell_angle_beta 90.00
_cell_angle_gamma 90.00
loop_
_space_group_symop_operation_xyz
'x,y,z'
'-x,-y,z'
'-x,y,z'
'x,-y,z'
'x,y+1/2,z+1/2'
'-x,-y+1/2,z+1/2'
'-x,y+1/2,z+1/2'
'x,-y+1/2,z+1/2'
loop_
_atom_site_label
_atom_site_type_symbol
_atom_site_fract_x
_atom_site_fract_y
_atom_site_fract_z
K1 K 0.000 0.000 0.000
K2 K 0.000 0.167 0.500
Ta1 Ta 0.000 0.000 0.263
Ta2 Ta 0.000 0.167 0.763
P1 P 0.500 0.000 0.733
P2 P 0.500 0.166 0.227